An optimized crystal structure of Li5PS4Cl2, computed with PBE.

Output
* space group: No. 38
* density of states at the Fermi level: 0.00 states/eV per cell
* crystal system: orthorhombic
* uncorrected formation energy: -1.216 eV per atom

Cell lengths 7.229, 6.039, 6.039 Å; angles 120.22, 90.00, 90.00 degrees
Fractional positions:
1 Li 0.000 0.000 0.000
2 Li 0.254 0.295 0.681
3 Li 0.254 0.681 0.295
4 Li 0.746 0.295 0.681
5 Li 0.746 0.681 0.295
6 P 0.500 0.943 0.943
7 S 0.268 0.743 0.743
8 S 0.500 0.304 0.984
9 S 0.500 0.984 0.304
10 S 0.732 0.743 0.743
11 Cl 0.000 0.057 0.412
12 Cl 0.000 0.412 0.057